Density functional theory data (PBE) for a relaxed structure of Rh3W.

The space group is Cmcm (No. 63) and the conventional cell measures 7.482, 7.464 and 4.528 Å, with angles of 90.00, 90.00 and 90.00 degrees. The inequivalent atoms are Rh at (0.000, 0.075, 0.250), Rh at (0.170, 0.262, 0.750) and W at (0.000, 0.405, 0.250).

The crystal system is orthorhombic. As for the volume: 15.8 A^3/atom. The formation energy comes out at 254 meV/atom. For the total energy, the calculation gives -8.50 eV per atom.